# 1
DyUBr6: relaxed, PBE. Values from VASP.

## Properties
* ΔE_f (raw): -1.538 eV/atom
* space-group type: C2/m, No. 12

The structure in Quantum ESPRESSO input format:
```
&SYSTEM
  ibrav = 0, nat = 8, ntyp = 3
/
ATOMIC_SPECIES
Dy 162.50 Dy.upf
U 238.03 U.upf
Br 79.90 Br.upf
CELL_PARAMETERS angstrom
3.549 -6.642 0.000
3.549 6.642 0.000
-2.065 0.000 6.786
ATOMIC_POSITIONS crystal
Dy 0.000 0.000 0.000
U 0.500 0.500 0.500
Br 0.095 0.388 0.243
Br 0.247 0.247 0.755
Br 0.388 0.095 0.243
Br 0.612 0.905 0.757
Br 0.753 0.753 0.245
Br 0.905 0.612 0.757
```

=====

# 2
DyVBr: relaxed, PBE. Values from VASP.

## Properties
* ΔE_f (raw): -0.113 eV/atom
* space-group type: P3m1, No. 156

The structure in Quantum ESPRESSO input format:
```
&SYSTEM
  ibrav = 0, nat = 6, ntyp = 3
/
ATOMIC_SPECIES
Dy 162.50 Dy.upf
V 50.94 V.upf
Br 79.90 Br.upf
CELL_PARAMETERS angstrom
4.180 0.000 0.000
-2.090 3.620 0.000
0.000 0.000 9.224
ATOMIC_POSITIONS crystal
Dy 0.000 0.000 0.000
Dy 0.333 0.667 0.451
V 0.000 0.000 0.678
V 0.333 0.667 0.763
Br 0.667 0.333 0.223
Br 0.667 0.333 0.811
```

=====

# 3
DyYBr3: relaxed, PBE. Values from VASP.

## Properties
* ΔE_f (raw): -1.505 eV/atom
* space-group type: C2/m, No. 12

The structure in Quantum ESPRESSO input format:
```
&SYSTEM
  ibrav = 0, nat = 10, ntyp = 3
/
ATOMIC_SPECIES
Dy 162.50 Dy.upf
Y 88.91 Y.upf
Br 79.90 Br.upf
CELL_PARAMETERS angstrom
9.084 -1.956 0.000
9.084 1.956 0.000
-6.371 0.000 9.395
ATOMIC_POSITIONS crystal
Dy 0.136 0.136 0.284
Dy 0.864 0.864 0.716
Y 0.428 0.428 0.042
Y 0.572 0.572 0.958
Br 0.032 0.032 0.741
Br 0.214 0.214 0.122
Br 0.333 0.333 0.494
Br 0.667 0.667 0.506
Br 0.786 0.786 0.878
Br 0.968 0.968 0.259
```

=====

# 4
DyYBr6: relaxed, PBE. Values from VASP.

## Properties
* ΔE_f (raw): -1.841 eV/atom
* space-group type: C2/m, No. 12

The structure in Quantum ESPRESSO input format:
```
&SYSTEM
  ibrav = 0, nat = 8, ntyp = 3
/
ATOMIC_SPECIES
Dy 162.50 Dy.upf
Y 88.91 Y.upf
Br 79.90 Br.upf
CELL_PARAMETERS angstrom
3.479 -6.657 0.000
3.479 6.657 0.000
-2.065 0.000 6.645
ATOMIC_POSITIONS crystal
Dy 0.000 0.000 0.000
Y 0.500 0.500 0.500
Br 0.105 0.394 0.250
Br 0.250 0.250 0.750
Br 0.394 0.105 0.250
Br 0.606 0.895 0.750
Br 0.750 0.750 0.250
Br 0.895 0.606 0.750
```

=====

# 5
DyYBr6: relaxed, PBE. Values from VASP.

## Properties
* ΔE_f (raw): -1.822 eV/atom
* space-group type: R-3, No. 148

The structure in Quantum ESPRESSO input format:
```
&SYSTEM
  ibrav = 0, nat = 8, ntyp = 3
/
ATOMIC_SPECIES
Dy 162.50 Dy.upf
Y 88.91 Y.upf
Br 79.90 Br.upf
CELL_PARAMETERS angstrom
3.528 2.037 6.407
-3.528 2.037 6.407
0.000 -4.074 6.407
ATOMIC_POSITIONS crystal
Dy 0.000 0.000 0.000
Y 0.500 0.500 0.500
Br 0.092 0.407 0.750
Br 0.250 0.908 0.593
Br 0.407 0.750 0.092
Br 0.593 0.250 0.908
Br 0.750 0.092 0.407
Br 0.908 0.593 0.250
```

=====

# 6
DyZn3Br9: relaxed, PBE. Values from VASP.

## Properties
* ΔE_f (raw): -1.131 eV/atom
* space-group type: Cc, No. 9

The structure in Quantum ESPRESSO input format:
```
&SYSTEM
  ibrav = 0, nat = 26, ntyp = 3
/
ATOMIC_SPECIES
Dy 162.50 Dy.upf
Zn 65.41 Zn.upf
Br 79.90 Br.upf
CELL_PARAMETERS angstrom
9.324 -4.708 0.000
9.324 4.708 0.000
-8.416 0.000 10.467
ATOMIC_POSITIONS crystal
Dy 0.228 0.772 0.500
Dy 0.772 0.228 0.000
Zn 0.022 0.258 0.827
Zn 0.258 0.022 0.327
Zn 0.283 0.433 0.665
Zn 0.433 0.283 0.165
Zn 0.657 0.802 0.211
Zn 0.802 0.657 0.711
Br 0.081 0.210 0.202
Br 0.090 0.929 0.324
Br 0.167 0.432 0.025
Br 0.210 0.081 0.702
Br 0.302 0.674 0.692
Br 0.383 0.425 0.369
Br 0.425 0.383 0.869
Br 0.432 0.167 0.525
Br 0.460 0.763 0.225
Br 0.499 0.982 0.081
Br 0.530 0.777 0.555
Br 0.674 0.302 0.192
Br 0.763 0.460 0.725
Br 0.777 0.530 0.055
Br 0.843 0.881 0.919
Br 0.881 0.843 0.419
Br 0.929 0.090 0.824
Br 0.982 0.499 0.581
```

=====

# 7
Dy2ZnBr: relaxed, PBE. Values from VASP.

## Properties
* ΔE_f (raw): -0.568 eV/atom
* space-group type: P4/mmm, No. 123

The structure in Quantum ESPRESSO input format:
```
&SYSTEM
  ibrav = 0, nat = 4, ntyp = 3
/
ATOMIC_SPECIES
Dy 162.50 Dy.upf
Zn 65.41 Zn.upf
Br 79.90 Br.upf
CELL_PARAMETERS angstrom
3.482 0.000 0.000
0.000 3.482 0.000
0.000 0.000 8.083
ATOMIC_POSITIONS crystal
Dy 0.000 0.000 0.219
Dy 0.000 0.000 0.781
Zn 0.500 0.500 0.000
Br 0.500 0.500 0.500
```

=====

# 8
DyZnBr: relaxed, PBE. Values from VASP.

## Properties
* ΔE_f (raw): -0.861 eV/atom
* space-group type: C2/m, No. 12

The structure in Quantum ESPRESSO input format:
```
&SYSTEM
  ibrav = 0, nat = 6, ntyp = 3
/
ATOMIC_SPECIES
Dy 162.50 Dy.upf
Zn 65.41 Zn.upf
Br 79.90 Br.upf
CELL_PARAMETERS angstrom
3.390 -1.957 0.000
3.390 1.957 0.000
-2.346 0.000 12.958
ATOMIC_POSITIONS crystal
Dy 0.097 0.097 0.299
Dy 0.903 0.903 0.701
Zn 0.184 0.184 0.550
Zn 0.816 0.816 0.450
Br 0.381 0.381 0.155
Br 0.619 0.619 0.845
```